# 1
DFT (PBE-GGA) results for B7C5 after structural relaxation.

The calculation puts the formation energy at 0.399 eV per atom. As for the energy above the lowest structure with this stoichiometry: 234 meV/atom. The value obtained for the total magnetic moment is 0.0 μB per formula unit.

It has space group P1 (No. 1), with a = 3.685 Å, b = 4.616 Å, c = 5.575 Å, α = 106.62°, β = 90.20° and γ = 111.29°. The asymmetric unit holds B at (0.000, 0.000, 0.000), B at (0.001, 0.383, 0.542), B at (0.018, 0.037, 0.568), B at (0.310, 0.066, 0.309), B at (0.313, 0.677, 0.138), B at (0.560, 0.664, 0.428), B at (0.650, 0.341, 0.879), C at (0.273, 0.003, 0.771), C at (0.382, 0.711, 0.694), C at (0.594, 0.674, 0.911), C at (0.700, 0.370, 0.333) and C at (0.940, 0.344, 0.111).

# 2
DFT (PBE-GGA) results for BC after structural relaxation.

The calculation puts the formation energy at 0.441 eV per atom. As for the energy above the lowest structure with this stoichiometry: 290 meV/atom. The value obtained for the total magnetic moment is 0.0 μB per formula unit.

It has space group P3m1 (No. 156), with a = 2.6134 Å, b = 2.6134 Å, c = 13.6364 Å, α = 90.00°, β = 90.00° and γ = 120.00°. The asymmetric unit holds B at (0.0000, 0.0000, 0.0000), B at (0.0000, 0.0000, 0.1317), B at (0.0000, 0.0000, 0.5474), B at (0.3333, 0.6667, 0.2012), B at (0.6667, 0.3333, 0.4722), B at (0.6667, 0.3333, 0.8513), C at (0.0000, 0.0000, 0.6630), C at (0.3333, 0.6667, 0.3178), C at (0.3333, 0.6667, 0.7022), C at (0.3333, 0.6667, 0.8155), C at (0.6667, 0.3333, 0.3564) and C at (0.6667, 0.3333, 0.9912).

# 3
DFT (PBE-GGA) results for B3C5 after structural relaxation.

The calculation puts the formation energy at 0.328 eV per atom. As for the energy above the lowest structure with this stoichiometry: 54 meV/atom. The value obtained for the total magnetic moment is 0.0 μB per formula unit.

It has space group Cm (No. 8), with a = 9.143 Å, b = 2.572 Å, c = 4.428 Å, α = 90.00°, β = 99.48° and γ = 90.00°. The asymmetric unit holds B at (0.000, 0.000, 0.000), B at (0.007, 0.500, 0.586), B at (0.103, 0.500, 0.227), C at (0.092, 0.000, 0.699), C at (0.262, 0.000, 0.781), C at (0.276, 0.500, 0.291), C at (0.322, 0.500, 0.964) and C at (0.330, 0.000, 0.476).

# 4
DFT (PBE-GGA) results for BC after structural relaxation.

The calculation puts the formation energy at 0.372 eV per atom. As for the energy above the lowest structure with this stoichiometry: 221 meV/atom. The value obtained for the total magnetic moment is 0.0 μB per formula unit.

It has space group Pmm2 (No. 25), with a = 2.396 Å, b = 2.627 Å, c = 8.501 Å, α = 90.00°, β = 90.00° and γ = 90.00°. The asymmetric unit holds B at (0.000, 0.000, 0.000), B at (0.000, 0.000, 0.493), B at (0.500, 0.000, 0.836), B at (0.500, 0.500, 0.248), C at (0.000, 0.500, 0.108), C at (0.000, 0.500, 0.617), C at (0.500, 0.000, 0.358) and C at (0.500, 0.500, 0.716).